[1]
# K2ScTlF6, single point on PBEsol structure, DFT SCAN
data_K2ScTlF6
_chemical_formula_sum 'K8 Sc4 Tl4 F24'
_space_group_name_H-M_alt 'F m -3 m'
_space_group_IT_number 225
_space_group_name_Hall '-F 4 2 3'
_cell_length_a 9.155
_cell_length_b 9.155
_cell_length_c 9.155
_cell_angle_alpha 90.00
_cell_angle_beta 90.00
_cell_angle_gamma 90.00
loop_
_atom_site_label
_atom_site_type_symbol
_atom_site_fract_x
_atom_site_fract_y
_atom_site_fract_z
_atom_site_occupancy
K1 K 0.250 0.250 0.250 1
Sc1 Sc 0.000 0.000 0.000 1
Tl1 Tl 0.000 0.000 0.500 1
F1 F 0.000 0.000 0.219 1
# **E_tot**: -15.649 eV/atom

---

[2]
# Cd3In5, single point on PBEsol structure, DFT SCAN
data_Cd3In5
_chemical_formula_sum 'Cd6 In10'
_space_group_name_H-M_alt 'C m m m'
_space_group_IT_number 65
_space_group_name_Hall '-C 2 2'
_cell_length_a 9.005
_cell_length_b 9.087
_cell_length_c 4.618
_cell_angle_alpha 90.00
_cell_angle_beta 90.00
_cell_angle_gamma 90.00
loop_
_atom_site_label
_atom_site_type_symbol
_atom_site_fract_x
_atom_site_fract_y
_atom_site_fract_z
_atom_site_occupancy
Cd1 Cd 0.000 0.000 0.000 1
Cd2 Cd 0.000 0.248 0.500 1
In1 In 0.000 0.500 0.000 1
In2 In 0.245 0.000 0.500 1
In3 In 0.250 0.250 0.000 1
# **E_tot**: -32.199 eV/atom
# **Energy relative to the lowest polymorph listed for this composition**: 0 meV/atom

---

[3]
# Sr4Ca3, single point on PBEsol structure, DFT SCAN
data_Sr4Ca3
_chemical_formula_sum 'Sr8 Ca6'
_space_group_name_H-M_alt 'I 4/m m m'
_space_group_IT_number 139
_space_group_name_Hall '-I 4 2'
_cell_length_a 4.568
_cell_length_b 4.568
_cell_length_c 31.036
_cell_angle_alpha 90.00
_cell_angle_beta 90.00
_cell_angle_gamma 90.00
loop_
_atom_site_label
_atom_site_type_symbol
_atom_site_fract_x
_atom_site_fract_y
_atom_site_fract_z
_atom_site_occupancy
Sr1 Sr 0.000 0.000 0.070 1
Sr2 Sr 0.000 0.000 0.352 1
Ca1 Ca 0.000 0.000 0.219 1
Ca2 Ca 0.000 0.000 0.500 1
# **E_tot**: -16.845 eV/atom

---

[4]
# BaTa2W, single point on PBEsol structure, DFT SCAN
data_BaTa2W
_chemical_formula_sum 'Ba1 Ta2 W1'
_space_group_name_H-M_alt 'P 4 m m'
_space_group_IT_number 99
_cell_length_a 2.849
_cell_length_b 2.849
_cell_length_c 10.552
_cell_angle_alpha 90.00
_cell_angle_beta 90.00
_cell_angle_gamma 90.00
loop_
_space_group_symop_operation_xyz
'x,y,z'
'-y,x,z'
'-x,-y,z'
'y,-x,z'
'-x,y,z'
'y,x,z'
'x,-y,z'
'-y,-x,z'
loop_
_atom_site_label
_atom_site_type_symbol
_atom_site_fract_x
_atom_site_fract_y
_atom_site_fract_z
_atom_site_occupancy
Ba1 Ba 0.000 0.000 0.000 1
Ta1 Ta 0.000 0.000 0.514 1
Ta2 Ta 0.500 0.500 0.306 1
W1 W 0.500 0.500 0.723 1
# **E_tot**: -59.609 eV/atom
# **Energy relative to the lowest polymorph listed for this composition**: 247 meV/atom

---

[5]
# LiTlMo2, single point on PBEsol structure, DFT SCAN
data_LiTlMo2
_chemical_formula_sum 'Li1 Tl1 Mo2'
_space_group_name_H-M_alt 'P 4/m m m'
_space_group_IT_number 123
_space_group_name_Hall '-P 4 2'
_cell_length_a 2.749
_cell_length_b 2.749
_cell_length_c 8.854
_cell_angle_alpha 90.00
_cell_angle_beta 90.00
_cell_angle_gamma 90.00
loop_
_atom_site_label
_atom_site_type_symbol
_atom_site_fract_x
_atom_site_fract_y
_atom_site_fract_z
_atom_site_occupancy
Li1 Li 0.000 0.000 0.000 1
Tl1 Tl 0.000 0.000 0.500 1
Mo1 Mo 0.500 0.500 0.239 1
# **E_tot**: -35.266 eV/atom
# **Energy relative to the lowest polymorph listed for this composition**: 351 meV/atom

---

[6]
# Zr2CoPt, single point on PBEsol structure, DFT SCAN
data_Zr2CoPt
_chemical_formula_sum 'Zr2 Co1 Pt1'
_space_group_name_H-M_alt 'P 4/m m m'
_space_group_IT_number 123
_space_group_name_Hall '-P 4 2'
_cell_length_a 4.540
_cell_length_b 4.540
_cell_length_c 3.281
_cell_angle_alpha 90.00
_cell_angle_beta 90.00
_cell_angle_gamma 90.00
loop_
_atom_site_label
_atom_site_type_symbol
_atom_site_fract_x
_atom_site_fract_y
_atom_site_fract_z
_atom_site_occupancy
Zr1 Zr 0.000 0.500 0.000 1
Co1 Co 0.000 0.000 0.500 1
Pt1 Pt 0.500 0.500 0.500 1
# **E_tot**: -38.023 eV/atom

---

[7]
# CrTe2, single point on PBEsol structure, DFT SCAN
data_CrTe2
_chemical_formula_sum 'Cr4 Te8'
_space_group_name_H-M_alt 'C 1 m 1'
_space_group_IT_number 8
_cell_length_a 10.044
_cell_length_b 3.688
_cell_length_c 8.107
_cell_angle_alpha 90.00
_cell_angle_beta 96.73
_cell_angle_gamma 90.00
loop_
_space_group_symop_operation_xyz
'x,y,z'
'x,-y,z'
'x+1/2,y+1/2,z'
'x+1/2,-y+1/2,z'
loop_
_atom_site_label
_atom_site_type_symbol
_atom_site_fract_x
_atom_site_fract_y
_atom_site_fract_z
_atom_site_occupancy
Cr1 Cr 0.000 0.000 0.000 1
Cr2 Cr 0.218 0.000 0.662 1
Te1 Te 0.016 0.500 0.739 1
Te2 Te 0.028 0.500 0.244 1
Te3 Te 0.273 0.000 0.993 1
Te4 Te 0.281 0.500 0.449 1
# **E_tot**: -31.161 eV/atom

---

[8]
# HfSb2Ir, single point on PBEsol structure, DFT SCAN
data_HfSb2Ir
_chemical_formula_sum 'Hf4 Sb8 Ir4'
_space_group_name_H-M_alt 'F m -3 m'
_space_group_IT_number 225
_space_group_name_Hall '-F 4 2 3'
_cell_length_a 6.771
_cell_length_b 6.771
_cell_length_c 6.771
_cell_angle_alpha 90.00
_cell_angle_beta 90.00
_cell_angle_gamma 90.00
loop_
_atom_site_label
_atom_site_type_symbol
_atom_site_fract_x
_atom_site_fract_y
_atom_site_fract_z
_atom_site_occupancy
Hf1 Hf 0.000 0.000 0.000 1
Sb1 Sb 0.250 0.250 0.250 1
Ir1 Ir 0.000 0.000 0.500 1
# **E_tot**: -52.010 eV/atom

---

[9]
# Pd2SBr, single point on PBEsol structure, DFT SCAN
data_Pd2SBr
_chemical_formula_sum 'Pd8 S4 Br4'
_space_group_name_H-M_alt 'F m -3 m'
_space_group_IT_number 225
_space_group_name_Hall '-F 4 2 3'
_cell_length_a 6.341
_cell_length_b 6.341
_cell_length_c 6.341
_cell_angle_alpha 90.00
_cell_angle_beta 90.00
_cell_angle_gamma 90.00
loop_
_atom_site_label
_atom_site_type_symbol
_atom_site_fract_x
_atom_site_fract_y
_atom_site_fract_z
_atom_site_occupancy
Pd1 Pd 0.250 0.250 0.250 1
S1 S 0.000 0.000 0.000 1
Br1 Br 0.000 0.000 0.500 1
# **E_tot**: -23.360 eV/atom

---

[10]
# TaCu2Rh, single point on PBEsol structure, DFT SCAN
data_TaCu2Rh
_chemical_formula_sum 'Ta2 Cu4 Rh2'
_space_group_name_H-M_alt 'I 4/m m m'
_space_group_IT_number 139
_space_group_name_Hall '-I 4 2'
_cell_length_a 3.704
_cell_length_b 3.704
_cell_length_c 7.829
_cell_angle_alpha 90.00
_cell_angle_beta 90.00
_cell_angle_gamma 90.00
loop_
_atom_site_label
_atom_site_type_symbol
_atom_site_fract_x
_atom_site_fract_y
_atom_site_fract_z
_atom_site_occupancy
Ta1 Ta 0.000 0.000 0.000 1
Cu1 Cu 0.000 0.500 0.250 1
Rh1 Rh 0.000 0.000 0.500 1
# **E_tot**: -32.877 eV/atom

---

[11]
# Mn2Be2N, single point on PBEsol structure, DFT SCAN
data_Mn2Be2N
_chemical_formula_sum 'Mn4 Be4 N2'
_space_group_name_H-M_alt 'I 4/m m m'
_space_group_IT_number 139
_space_group_name_Hall '-I 4 2'
_cell_length_a 2.879
_cell_length_b 2.879
_cell_length_c 12.349
_cell_angle_alpha 90.00
_cell_angle_beta 90.00
_cell_angle_gamma 90.00
loop_
_atom_site_label
_atom_site_type_symbol
_atom_site_fract_x
_atom_site_fract_y
_atom_site_fract_z
_atom_site_occupancy
Mn1 Mn 0.000 0.500 0.250 1
Be1 Be 0.000 0.000 0.084 1
N1 N 0.000 0.000 0.500 1
# **E_tot**: -9.802 eV/atom

---

[12]
# H2BrCl, single point on PBEsol structure, DFT SCAN
data_H2BrCl
_chemical_formula_sum 'H8 Br4 Cl4'
_space_group_name_H-M_alt 'F m -3 m'
_space_group_IT_number 225
_space_group_name_Hall '-F 4 2 3'
_cell_length_a 5.895
_cell_length_b 5.895
_cell_length_c 5.895
_cell_angle_alpha 90.00
_cell_angle_beta 90.00
_cell_angle_gamma 90.00
loop_
_atom_site_label
_atom_site_type_symbol
_atom_site_fract_x
_atom_site_fract_y
_atom_site_fract_z
_atom_site_occupancy
H1 H 0.250 0.250 0.250 1
Br1 Br 0.000 0.000 0.000 1
Cl1 Cl 0.000 0.000 0.500 1
# **E_tot**: -7.249 eV/atom